Crystalline BaSrMn4O12 at its relaxed geometry, computed with PBE+U.

Properties
For the density, the calculation gives 4.6 Mg/m³. The space group is No. 123. The value obtained for the density of states at the Fermi level is 9.1 states/eV/cell. Its total energy is -6.390 eV per atom.

a b c (Å): 5.444 5.444 7.700
angles (deg): 90.00 90.00 90.00
Each line ends with the local moment (μB).
Fractional positions:
1 O 0.754 0.246 0.258  0.32
2 O 0.246 0.246 0.258  0.32
3 O 0.500 0.000 0.000  0.29
4 O 0.000 0.500 0.000  0.29
5 O 0.246 0.754 0.258  0.32
6 O 0.754 0.246 0.742  0.32
7 O 0.000 0.500 0.500  0.36
8 O 0.754 0.754 0.258  0.32
9 O 0.754 0.754 0.742  0.32
10 O 0.246 0.754 0.742  0.32
11 O 0.500 0.000 0.500  0.36
12 O 0.246 0.246 0.742  0.32
13 Mn 0.500 0.000 0.749  2.94
14 Mn 0.500 0.000 0.251  2.94
15 Mn 0.000 0.500 0.749  2.94
16 Mn 0.000 0.500 0.251  2.94
17 Ba 0.500 0.500 0.000  0.00
18 Sr 0.000 0.000 0.500  0.00